Material: Sr2P2PtAu
Method: DFT, PBE
State: relaxed

It has space group P-6m2 (No. 187), with a = 4.2312 Å, b = 4.2312 Å, c = 8.8890 Å, α = 90.00°, β = 90.00° and γ = 120.00°. Symmetry generates all atoms from Sr at (0.0000, 0.0000, 0.2411), P at (0.3333, 0.6667, 0.0000), P at (0.6667, 0.3333, 0.5000), Pt at (0.6667, 0.3333, 0.0000) and Au at (0.3333, 0.6667, 0.5000).

The spin magnetization comes out at 0.01 μB/cell. The crystal system is hexagonal. The volume comes out at 137.8 Å³/cell. The total energy is -4.923 eV/atom.



Material: KSnPt
Method: DFT, PBE
State: relaxed

It has space group F-43m (No. 216), with a = 7.076 Å, b = 7.076 Å, c = 7.076 Å, α = 90.00°, β = 90.00° and γ = 90.00°. Symmetry generates all atoms from K at (0.000, 0.000, 0.000), Sn at (0.250, 0.250, 0.250) and Pt at (0.250, 0.250, 0.750).

The spin magnetization comes out at 0.01 μB/cell. The crystal system is cubic. The volume comes out at 354.4 Å³/cell. The total energy is -2.944 eV/atom.